[1]
{
  "formula": "Pr5SmIn4",
  "functional": "PBE-GGA",
  "state": "optimized geometry",
  "cell": [[8.298, 0.000, 0.000], [0.000, 9.368, 0.000], [0.000, 0.000, 8.913]],
  "species": ["Pr", "Pr", "Pr", "Pr", "Pr", "Pr", "Pr", "Pr", "Pr", "Pr", "Sm", "Sm", "In", "In", "In", "In", "In", "In", "In", "In"],
  "frac_coords": [[0.000, 0.054, 0.230], [0.000, 0.446, 0.230], [0.000, 0.554, 0.770], [0.000, 0.946, 0.770], [0.250, 0.250, 0.580], [0.500, 0.054, 0.230], [0.500, 0.446, 0.230], [0.500, 0.554, 0.770], [0.500, 0.946, 0.770], [0.750, 0.750, 0.420], [0.250, 0.750, 0.161], [0.750, 0.250, 0.839], [0.087, 0.250, 0.938], [0.250, 0.593, 0.487], [0.250, 0.907, 0.487], [0.413, 0.250, 0.938], [0.587, 0.750, 0.062], [0.750, 0.093, 0.513], [0.750, 0.407, 0.513], [0.913, 0.750, 0.062]],
  "dos_at_fermi_per_ev_cell": 20.07,
  "dft_energy_ev_per_atom": -4.10,
  "m_tot_mub_per_cell": 0.0,
  "formation_enthalpy_0k_ev_per_atom": -0.1479,
  "polymorph_energy_mev_per_atom": 230.5
}


[2]
{
  "formula": "CrPRh2",
  "functional": "PBE-GGA",
  "state": "optimized geometry",
  "cell": [[0.000, 2.968, 2.968], [2.968, 0.000, 2.968], [2.968, 2.968, 0.000]],
  "species": ["Cr", "P", "Rh", "Rh"],
  "frac_coords": [[0.000, 0.000, 0.000], [0.250, 0.250, 0.250], [0.500, 0.500, 0.500], [0.750, 0.750, 0.750]],
  "dos_at_fermi_per_ev_cell": 3.10,
  "dft_energy_ev_per_atom": -7.44,
  "m_tot_mub_per_cell": 0.0,
  "formation_enthalpy_0k_ev_per_atom": -0.0039
}


[3]
{
  "formula": "RhSe2IBr",
  "functional": "PBE-GGA",
  "state": "optimized geometry",
  "cell": [[4.954, 0.000, 0.000], [0.000, 4.954, 0.000], [0.000, 0.000, 5.086]],
  "species": ["Rh", "Se", "Se", "I", "Br"],
  "frac_coords": [[0.000, 0.000, 0.000], [0.000, 0.500, 0.000], [0.500, 0.000, 0.000], [0.500, 0.500, 0.500], [0.000, 0.000, 0.500]],
  "dos_at_fermi_per_ev_cell": 5.95,
  "dft_energy_ev_per_atom": -3.24,
  "m_tot_mub_per_cell": 0.0,
  "polymorph_energy_mev_per_atom": 0.0
}


[4]
{
  "formula": "ReAs2Br",
  "functional": "PBE-GGA",
  "state": "optimized geometry",
  "cell": [[3.928, 0.000, 0.000], [0.000, 4.103, 0.000], [0.000, 0.000, 6.325]],
  "species": ["Re", "As", "As", "Br"],
  "frac_coords": [[0.000, 0.000, 0.000], [0.464, 0.000, 0.744], [0.852, 0.500, 0.815], [0.080, 0.500, 0.280]],
  "dos_at_fermi_per_ev_cell": 0.04,
  "dft_energy_ev_per_atom": -5.48,
  "m_tot_mub_per_cell": 0.0,
  "polymorph_energy_mev_per_atom": 228.2
}